Record 1
{"formula": "Ni2AuCl", "functional": "GGA-PBEsol", "state": "relaxed", "vol_a3_per_atom": 13.4, "raw_formation_energy_ev_per_atom": 0.266, "polymorph_energy_mev_per_atom": 139.5, "final_energy_ev_per_atom": -4.296, "cell": [[2.8863, 0.0000, 0.0000], [0.0000, 2.8863, 0.0000], [0.0000, 0.0000, 6.4455]], "species": ["Ni", "Ni", "Au", "Cl"], "fractional_positions": [[0.0000, 0.0000, 0.2344], [0.0000, 0.0000, 0.7656], [0.5000, 0.5000, 0.5000], [0.5000, 0.5000, 0.0000]]}

***

Record 2
{"formula": "Ni2AuCl", "functional": "GGA-PBEsol", "state": "relaxed", "vol_a3_per_atom": 14.7, "raw_formation_energy_ev_per_atom": 0.195, "polymorph_energy_mev_per_atom": 68.6, "final_energy_ev_per_atom": -4.366, "cell": [[1.4435, 0.8334, 8.1302], [-1.4435, 0.8334, 8.1302], [0.0000, -1.6669, 8.1302]], "species": ["Ni", "Ni", "Au", "Cl"], "fractional_positions": [[0.0000, 0.0000, 0.0000], [0.2639, 0.2639, 0.2639], [0.7504, 0.7504, 0.7504], [0.5347, 0.5347, 0.5347]]}

***

Number 1 is which compound? Ni2AuCl

***

Repeat the first record exactly.
{"formula": "Ni2AuCl", "functional": "GGA-PBEsol", "state": "relaxed", "vol_a3_per_atom": 13.4, "raw_formation_energy_ev_per_atom": 0.266, "polymorph_energy_mev_per_atom": 139.5, "final_energy_ev_per_atom": -4.296, "cell": [[2.8863, 0.0000, 0.0000], [0.0000, 2.8863, 0.0000], [0.0000, 0.0000, 6.4455]], "species": ["Ni", "Ni", "Au", "Cl"], "fractional_positions": [[0.0000, 0.0000, 0.2344], [0.0000, 0.0000, 0.7656], [0.5000, 0.5000, 0.5000], [0.5000, 0.5000, 0.0000]]}